Material: Cs3BiW
Method: DFT, PBE
State: optimized geometry

- Fermi-level density of states (states/eV/f.u.) = 14.02
- ΔE_f (eV/atom) = 1.338
- size of the total moment (μB per atom) = 1.200
- theoretical density (g/cm³) = 3.84

a = 6.9971 Å, b = 6.9971 Å, c = 6.9971 Å
α = 90.00°, β = 90.00°, γ = 90.00°
With the nearest neighbours (Å) after each atom.
Fractional coordinates of all 5 atoms:
Cs 0.0000 0.0000 0.5000  2 W 3.50
Cs 0.0000 0.5000 0.0000  2 W 3.50
Cs 0.5000 0.0000 0.0000  2 W 3.50
Bi 0.5000 0.5000 0.5000  12 Cs 4.95
W 0.0000 0.0000 0.0000  6 Cs 3.50

Material: Ac2La6TcN
Method: DFT, PBE
State: optimized geometry

- Fermi-level density of states (states/eV/f.u.) = 13.48
- size of the total moment (μB per atom) = 0.000
- theoretical density (g/cm³) = 7.01
- electronic total energy (eV per formula unit) = -58.28

a = 7.6621 Å, b = 7.6621 Å, c = 7.6621 Å
α = 112.97°, β = 96.25°, γ = 120.06°
With the nearest neighbours (Å) after each atom.
Fractional coordinates of all 10 atoms:
Ac 0.2002 0.0000 0.2002  1 Tc 3.49, 5 La 3.68-3.81
Ac 0.7998 0.0000 0.7998  1 Tc 3.49, 5 La 3.68-3.81
La 0.2265 0.5239 0.2974  1 N 2.69, 1 Tc 2.74
La 0.2265 0.9291 0.7026  1 N 2.69, 1 Tc 2.74
La 0.2265 0.4791 0.7474  1 N 2.54, 1 Tc 2.72
La 0.7260 0.0132 0.2872  1 N 2.51
La 0.7260 0.4388 0.7128  1 N 2.51
La 0.7317 0.4791 0.2526  1 N 2.54, 1 Tc 2.72
Tc 0.3688 0.3688 0.0000  4 La 2.72-2.74
N 0.9554 0.4554 0.5000  6 La 2.51-2.69

Material: PrDyZr
Method: DFT, PBE
State: optimized geometry

- Fermi-level density of states (states/eV/f.u.) = 3.57
- energy relative to the lowest polymorph listed for this composition (eV/f.u.) = 0.04
- ΔE_f (eV/atom) = 0.124
- size of the total moment (μB per atom) = 0.000
- theoretical density (g/cm³) = 7.40

a = 3.4593 Å, b = 3.4593 Å, c = 8.5470 Å
α = 90.00°, β = 90.00°, γ = 120.00°
With the nearest neighbours (Å) after each atom.
Fractional coordinates of all 3 atoms:
Pr 0.0000 0.0000 0.0000  3 Zr 3.39, 6 Pr 3.46, 3 Dy 3.76
Dy 0.3333 0.6667 0.6266  3 Zr 3.29, 6 Dy 3.46
Zr 0.6667 0.3333 0.3202  3 Dy 3.29, 3 Pr 3.39, 6 Zr 3.46

- Which value of Fermi-level density of states does entry 2 give?
  13.48 states/eV/f.u.

- What is the formula in the first record?
  Cs3BiW